First-principles (GGA-PBE) data for KReW2 after structural relaxation, as listed in Alexandria.

Computed properties:
As for the symmetry: No. 166. The value obtained for the formation enthalpy at 0 K is 0.91 eV/atom. For the total magnetization, the calculation gives 0.0 μB/f.u. For the offset from the most stable computed form, the calculation gives 137 meV/atom.

abc: 10.822 10.822 10.822
angles: 15.27 15.27 15.27
Fractional coordinates of all 4 atoms:
W (0.484, 0.484, 0.484)
W (0.016, 0.016, 0.016)
Re (0.750, 0.750, 0.750)
K (0.250, 0.250, 0.250)